i.
Entry from Alexandria: a relaxed PPt2F crystal (PBE).

Cell: 4.2128 4.2128 4.2128 Å, 60.00 60.00 60.00°
Sites, in units of the cell vectors:
P 0.5000 0.5000 0.5000
Pt 0.2500 0.2500 0.2500
Pt 0.7500 0.7500 0.7500
F 0.0000 0.0000 0.0000

Results
Total magnetization, μB per atom: 0.00
Mass density, g cm⁻³: 13.82

=====

ii.
Entry from Alexandria: a relaxed PPt2F crystal (PBE).

Cell: 6.1088 6.1088 5.5440 Å, 56.57 56.57 90.00°
Sites, in units of the cell vectors:
P 0.0000 0.0000 0.0000
P 0.7500 0.2500 0.5000
Pt 0.6529 0.1250 0.2500
Pt 0.0971 0.6250 0.2500
Pt 0.3750 0.3471 0.7500
Pt 0.8750 0.9029 0.7500
F 0.5000 0.5000 0.0000
F 0.2500 0.7500 0.5000

Results
Total magnetization, μB per atom: 0.00
Mass density, g cm⁻³: 11.27

=====

Result of the stability comparison: ii is the most stable of them.

=====

i.
Entry from Alexandria: a relaxed P2PtSF crystal (PBE).

Cell: 4.6207 4.6207 4.9576 Å, 90.00 90.00 90.00°
Last column: magnetic moment on the atom in μB.
Sites, in units of the cell vectors:
P 0.0000 0.5000 0.0000  0.04
P 0.5000 0.0000 0.0000  0.04
S 0.0000 0.0000 0.5000  0.53
Pt 0.0000 0.0000 0.0000  0.11
F 0.5000 0.5000 0.5000  0.24

Results
Total magnetization, μB per atom: 0.27
Mass density, g cm⁻³: 4.83

=====

ii.
Entry from Alexandria: a relaxed P2PtSF crystal (PBE).

Cell: 4.0142 4.0142 5.0073 Å, 90.00 90.00 90.00°
Sites, in units of the cell vectors:
P 0.0000 0.5000 0.0000
P 0.5000 0.0000 0.0000
S 0.0000 0.0000 0.5000
Pt 0.5000 0.5000 0.5000
F 0.0000 0.0000 0.0000

Results
Total magnetization, μB per atom: 0.00
Mass density, g cm⁻³: 6.34

=====

Result of the stability comparison: i is the most stable of them.

=====

i.
Entry from Alexandria: a relaxed PPtS2F crystal (PBE).

Cell: 4.8740 4.8740 3.5638 Å, 90.00 90.00 90.00°
Sites, in units of the cell vectors:
P 0.0000 0.0000 0.5000
S 0.0000 0.5000 0.0000
S 0.5000 0.0000 0.0000
Pt 0.5000 0.5000 0.5000
F 0.0000 0.0000 0.0000

Results
Total magnetization, μB per atom: 0.00
Mass density, g cm⁻³: 6.06

=====

ii.
Entry from Alexandria: a relaxed PPtS2F crystal (PBE).

Cell: 4.8697 4.8697 4.5337 Å, 90.00 90.00 90.00°
Last column: magnetic moment on the atom in μB.
Sites, in units of the cell vectors:
P 0.0000 0.0000 0.5000  0.16
S 0.0000 0.5000 0.0000  0.63
S 0.5000 0.0000 0.0000  0.63
Pt 0.0000 0.0000 0.0000  0.24
F 0.5000 0.5000 0.5000  0.33

Results
Total magnetization, μB per atom: 0.58
Mass density, g cm⁻³: 4.78

=====

Result of the stability comparison: ii is the most stable of them.